1.
# CrRu2Rh, relaxed, DFT PBE
data_CrRu2Rh
_cell_length_a 2.6861
_cell_length_b 2.6861
_cell_length_c 26.0079
_cell_angle_alpha 90.00
_cell_angle_beta 90.00
_cell_angle_gamma 120.00
_symmetry_space_group_name_H-M 'R 3 m'
_symmetry_Int_Tables_number 160
_symmetry_space_group_name_Hall 'R 3 -2"'
loop_
_atom_site_label
_atom_site_type_symbol
_atom_site_fract_x
_atom_site_fract_y
_atom_site_fract_z
_atom_site_occupancy
Cr1 Cr 0.0000 0.0000 0.0000 1
Ru1 Ru 0.0000 0.0000 0.4992 1
Ru2 Ru 0.0000 0.0000 0.7476 1
Rh1 Rh 0.0000 0.0000 0.2536 1
# DFT formation energy = 0.104 eV per atom
# Density = 10.9 Mg/m³

=====

2.
# CrTcRuRh, relaxed, DFT PBE
data_CrTcRuRh
_cell_length_a 3.7996
_cell_length_b 3.7996
_cell_length_c 7.5894
_cell_angle_alpha 90.00
_cell_angle_beta 90.00
_cell_angle_gamma 90.00
_symmetry_space_group_name_H-M 'I -4 m 2'
_symmetry_Int_Tables_number 119
_symmetry_space_group_name_Hall 'I -4 -2'
loop_
_atom_site_label
_atom_site_type_symbol
_atom_site_fract_x
_atom_site_fract_y
_atom_site_fract_z
_atom_site_occupancy
Cr1 Cr 0.0000 0.0000 0.0000 1
Tc1 Tc 0.0000 0.5000 0.2500 1
Ru1 Ru 0.0000 0.5000 0.7500 1
Rh1 Rh 0.0000 0.0000 0.5000 1
# DFT formation energy = 0.034 eV per atom
# Density = 10.7 Mg/m³

=====

3.
# TiCrRuRh, relaxed, DFT PBE
data_TiCrRuRh
_cell_length_a 6.1203
_cell_length_b 6.1203
_cell_length_c 6.1203
_cell_angle_alpha 90.00
_cell_angle_beta 90.00
_cell_angle_gamma 90.00
_symmetry_space_group_name_H-M 'F -4 3 m'
_symmetry_Int_Tables_number 216
_symmetry_space_group_name_Hall 'F -4 2 3'
loop_
_atom_site_label
_atom_site_type_symbol
_atom_site_fract_x
_atom_site_fract_y
_atom_site_fract_z
_atom_site_occupancy
Ti1 Ti 0.0000 0.0000 0.0000 1
Cr1 Cr 0.0000 0.0000 0.5000 1
Ru1 Ru 0.2500 0.2500 0.2500 1
Rh1 Rh 0.2500 0.2500 0.7500 1
# DFT formation energy = -0.308 eV per atom
# Density = 8.8 Mg/m³

=====

4.
# ZrCrRuRh, relaxed, DFT PBE
data_ZrCrRuRh
_cell_length_a 6.3408
_cell_length_b 6.3408
_cell_length_c 6.3408
_cell_angle_alpha 90.00
_cell_angle_beta 90.00
_cell_angle_gamma 90.00
_symmetry_space_group_name_H-M 'F -4 3 m'
_symmetry_Int_Tables_number 216
_symmetry_space_group_name_Hall 'F -4 2 3'
loop_
_atom_site_label
_atom_site_type_symbol
_atom_site_fract_x
_atom_site_fract_y
_atom_site_fract_z
_atom_site_occupancy
Zr1 Zr 0.0000 0.0000 0.0000 1
Cr1 Cr 0.0000 0.0000 0.5000 1
Ru1 Ru 0.2500 0.2500 0.2500 1
Rh1 Rh 0.2500 0.2500 0.7500 1
# DFT formation energy = -0.253 eV per atom
# Density = 9.0 Mg/m³

=====

5.
# CrRhS2, relaxed, DFT PBE
data_CrRhS2
_cell_length_a 5.9156
_cell_length_b 5.9156
_cell_length_c 5.9156
_cell_angle_alpha 90.00
_cell_angle_beta 90.00
_cell_angle_gamma 90.00
_symmetry_space_group_name_H-M 'F m -3 m'
_symmetry_Int_Tables_number 225
_symmetry_space_group_name_Hall '-F 4 2 3'
loop_
_atom_site_label
_atom_site_type_symbol
_atom_site_fract_x
_atom_site_fract_y
_atom_site_fract_z
_atom_site_occupancy
Cr1 Cr 0.0000 0.0000 0.0000 1
Rh1 Rh 0.0000 0.0000 0.5000 1
S1 S 0.2500 0.2500 0.2500 1
# Uncorrected formation energy = 0.2 eV per formula unit
# Density = 7.0 Mg/m³

=====

6.
# Cr3Rh3S8, relaxed, DFT PBE
data_Cr3Rh3S8
_cell_length_a 6.0753
_cell_length_b 6.4149
_cell_length_c 6.8662
_cell_angle_alpha 104.88
_cell_angle_beta 90.46
_cell_angle_gamma 116.02
_symmetry_space_group_name_H-M 'P -1'
_symmetry_Int_Tables_number 2
_symmetry_space_group_name_Hall '-P 1'
loop_
_atom_site_label
_atom_site_type_symbol
_atom_site_fract_x
_atom_site_fract_y
_atom_site_fract_z
_atom_site_occupancy
Cr1 Cr 0.0000 0.0000 0.0000 1
Cr2 Cr 0.2873 0.5253 0.6336 1
Rh1 Rh 0.0000 0.0000 0.5000 1
Rh2 Rh 0.2840 0.5296 0.1405 1
S1 S 0.0227 0.7301 0.1811 1
S2 S 0.0267 0.7338 0.6858 1
S3 S 0.4453 0.2403 0.5529 1
S4 S 0.4509 0.2456 0.0602 1
# Uncorrected formation energy = -7.5 eV per formula unit
# Density = 5.2 Mg/m³

=====

7.
# CrRh2S2, relaxed, DFT PBE
data_CrRh2S2
_cell_length_a 3.8015
_cell_length_b 3.8015
_cell_length_c 10.8011
_cell_angle_alpha 90.00
_cell_angle_beta 90.00
_cell_angle_gamma 90.00
_symmetry_space_group_name_H-M 'I 4/m m m'
_symmetry_Int_Tables_number 139
_symmetry_space_group_name_Hall '-I 4 2'
loop_
_atom_site_label
_atom_site_type_symbol
_atom_site_fract_x
_atom_site_fract_y
_atom_site_fract_z
_atom_site_occupancy
Cr1 Cr 0.0000 0.0000 0.0000 1
Rh1 Rh 0.0000 0.5000 0.2500 1
S1 S 0.0000 0.0000 0.3815 1
# Uncorrected formation energy = 2.5 eV per formula unit
# Energy above the lowest structure with this stoichiometry = 426.4 meV/atom
# Density = 6.8 Mg/m³

=====

8.
# Cr2RhS, relaxed, DFT PBE
data_Cr2RhS
_cell_length_a 6.6250
_cell_length_b 6.6250
_cell_length_c 4.9616
_cell_angle_alpha 90.00
_cell_angle_beta 90.00
_cell_angle_gamma 90.00
_symmetry_space_group_name_H-M 'I -4 2 d'
_symmetry_Int_Tables_number 122
_symmetry_space_group_name_Hall 'I -4 2bw'
loop_
_atom_site_label
_atom_site_type_symbol
_atom_site_fract_x
_atom_site_fract_y
_atom_site_fract_z
_atom_site_occupancy
Cr1 Cr 0.2007 0.2500 0.1250 1
Rh1 Rh 0.0000 0.0000 0.5000 1
S1 S 0.0000 0.0000 0.0000 1
# Uncorrected formation energy = 0.7 eV per formula unit
# Density = 7.3 Mg/m³

=====

9.
# CrRh2S2, relaxed, DFT PBE
data_CrRh2S2
_cell_length_a 6.2834
_cell_length_b 6.2834
_cell_length_c 3.5044
_cell_angle_alpha 90.00
_cell_angle_beta 90.00
_cell_angle_gamma 90.00
_symmetry_space_group_name_H-M 'P 4/m b m'
_symmetry_Int_Tables_number 127
_symmetry_space_group_name_Hall '-P 4 2ab'
loop_
_atom_site_label
_atom_site_type_symbol
_atom_site_fract_x
_atom_site_fract_y
_atom_site_fract_z
_atom_site_occupancy
Cr1 Cr 0.0000 0.0000 0.0000 1
Rh1 Rh 0.1580 0.3420 0.5000 1
S1 S 0.1673 0.6673 0.0000 1
# Uncorrected formation energy = 0.4 eV per formula unit
# Energy above the lowest structure with this stoichiometry = 0.0 meV/atom
# Density = 7.7 Mg/m³

=====

10.
# CrRhS, relaxed, DFT PBE
data_CrRhS
_cell_length_a 3.1328
_cell_length_b 4.5567
_cell_length_c 6.1500
_cell_angle_alpha 90.00
_cell_angle_beta 90.00
_cell_angle_gamma 90.00
_symmetry_space_group_name_H-M 'P m m n'
_symmetry_Int_Tables_number 59
loop_
_symmetry_equiv_pos_as_xyz
'x,y,z'
'-x,-y,-z'
'-x+1/2,-y+1/2,z'
'x+1/2,y+1/2,-z'
'x+1/2,-y,-z'
'-x+1/2,y,z'
'-x,y+1/2,-z'
'x,-y+1/2,z'
loop_
_atom_site_label
_atom_site_type_symbol
_atom_site_fract_x
_atom_site_fract_y
_atom_site_fract_z
_atom_site_occupancy
Cr1 Cr 0.2500 0.2500 0.1991 1
Rh1 Rh 0.2500 0.7500 0.4717 1
S1 S 0.2500 0.7500 0.0873 1
# Uncorrected formation energy = -0.5 eV per formula unit
# Density = 7.1 Mg/m³

=====

11.
# CrRh2S, relaxed, DFT PBE
data_CrRh2S
_cell_length_a 5.0815
_cell_length_b 5.0815
_cell_length_c 11.5768
_cell_angle_alpha 90.00
_cell_angle_beta 90.00
_cell_angle_gamma 90.00
_symmetry_space_group_name_H-M 'I -4 2 d'
_symmetry_Int_Tables_number 122
_symmetry_space_group_name_Hall 'I -4 2bw'
loop_
_atom_site_label
_atom_site_type_symbol
_atom_site_fract_x
_atom_site_fract_y
_atom_site_fract_z
_atom_site_occupancy
Cr1 Cr 0.0000 0.0000 0.0000 1
Rh1 Rh 0.2281 0.2500 0.6250 1
S1 S 0.0000 0.0000 0.5000 1
# Uncorrected formation energy = 1.3 eV per formula unit
# Density = 6.4 Mg/m³

=====

12.
# CrRhS2, relaxed, DFT PBE
data_CrRhS2
_cell_length_a 5.2208
_cell_length_b 5.2208
_cell_length_c 10.5720
_cell_angle_alpha 90.00
_cell_angle_beta 90.00
_cell_angle_gamma 90.00
_symmetry_space_group_name_H-M 'I -4 2 d'
_symmetry_Int_Tables_number 122
_symmetry_space_group_name_Hall 'I -4 2bw'
loop_
_atom_site_label
_atom_site_type_symbol
_atom_site_fract_x
_atom_site_fract_y
_atom_site_fract_z
_atom_site_occupancy
Cr1 Cr 0.0000 0.0000 0.0000 1
Rh1 Rh 0.0000 0.0000 0.5000 1
S1 S 0.2367 0.2500 0.1250 1
# Uncorrected formation energy = -1.3 eV per formula unit
# Density = 5.0 Mg/m³